Entry 1:
RbTaIr2: optimized geometry, GGA-PBE.

abc: 7.5664 7.5664 6.4084
angles: 53.82 53.82 90.00
Last column: nearest neighbours and their distance in Å.
Sites, in units of the cell vectors:
Ta1 0.0000 0.0000 0.0000  4 Ir 2.47
Rb1 0.2500 0.7500 0.5000  8 Ir 3.23-3.51, 2 Ta 3.53
Ir1 0.7008 0.1250 0.2500  2 Ta 2.47
Ta2 0.7500 0.2500 0.5000  4 Ir 2.47
Ir2 0.8750 0.9508 0.7500  2 Ta 2.47
Rb2 0.5000 0.5000 0.0000  8 Ir 3.23-3.51, 2 Ta 3.53
Ir3 0.3750 0.2992 0.7500  2 Ta 2.47
Ir4 0.0492 0.6250 0.2500  2 Ta 2.47

Crystal system = tetragonal
E above lowest polymorph = 0 meV/atom
Formation enthalpy at 0 K = 0.80 eV/atom

---

Entry 2:
Ac8Sm4Tm: optimized geometry, GGA-PBE.

abc: 11.8014 11.8014 8.3398
angles: 90.00 135.04 120.00
Last column: nearest neighbours and their distance in Å.
Sites, in units of the cell vectors:
Ac1 0.0007 0.2420 0.7594  4 Sm 3.49-3.65, 1 Tm 3.73
Ac2 0.9993 0.7580 0.2406  4 Sm 3.49-3.65, 1 Tm 3.73
Ac3 0.4826 0.2413 0.2406  4 Sm 3.49-3.65, 1 Tm 3.73
Ac4 0.5172 0.7586 0.2758  4 Sm 3.48-3.66, 1 Tm 3.73
Sm1 0.5000 0.5000 0.0000  8 Ac 3.65-3.66
Sm2 0.5000 0.0000 0.0000  8 Ac 3.65-3.66
Tm1 0.0000 0.5000 0.5000  8 Ac 3.73, 6 Sm 4.17
Ac5 0.4828 0.2414 0.7242  4 Sm 3.48-3.66, 1 Tm 3.73
Sm3 0.0000 0.0000 0.0000  8 Ac 3.48-3.49
Sm4 0.0000 0.5000 0.0000  8 Ac 3.65-3.66
Ac6 0.5174 0.7587 0.7594  4 Sm 3.49-3.65, 1 Tm 3.73
Ac7 0.9993 0.2413 0.2406  4 Sm 3.49-3.65, 1 Tm 3.73
Ac8 0.0007 0.7587 0.7594  4 Sm 3.49-3.65, 1 Tm 3.73

Crystal system = trigonal
Formation enthalpy at 0 K = 0.40 eV/atom

---

Entry 3:
BeTcIr: optimized geometry, GGA-PBE.

abc: 4.0396 4.0396 2.7070
angles: 90.00 90.00 120.00
Last column: nearest neighbours and their distance in Å.
Sites, in units of the cell vectors:
Be1 0.0000 0.0000 0.1669  3 Ir 2.33
Ir1 0.6667 0.3333 0.1665  3 Be 2.33
Tc1 0.3333 0.6667 0.6666  6 Be 2.70, 6 Ir 2.70, 2 Tc 2.71

Crystal system = hexagonal
E above lowest polymorph = 160 meV/atom
Formation enthalpy at 0 K = -0.21 eV/atom

---

Entry 4:
P3BrF12: optimized geometry, GGA-PBE.

abc: 8.5542 8.5542 10.5259
angles: 66.02 66.02 60.00
Last column: nearest neighbours and their distance in Å.
Sites, in units of the cell vectors:
F1 0.1181 0.5879 0.8652  1 P 1.57
F2 0.5879 0.4288 0.8652  1 P 1.57
F3 0.0856 0.6790 0.5620  1 P 1.63
P1 0.8149 0.1924 0.4882  4 F 1.57-1.63
P2 0.3149 0.0045 0.9882  4 F 1.57-1.63
F4 0.0879 0.6181 0.3652  1 P 1.57
F5 0.5786 0.4185 0.1118  1 P 1.57
P3 0.5045 0.8149 0.4882  4 F 1.57-1.63
F6 0.4185 0.8911 0.1118  1 P 1.57
F7 0.8911 0.5786 0.1118  1 P 1.57
F8 0.1734 0.1790 0.0620  1 P 1.63
F9 0.9185 0.0786 0.6118  1 P 1.57
P4 0.6924 0.3149 0.9882  4 F 1.57-1.63
F10 0.9226 0.3330 0.4144  1 P 1.63
P5 0.0045 0.6924 0.9882  4 F 1.57-1.63
Br1 0.5040 0.5040 0.4880  3 P 2.66
F11 0.4226 0.8300 0.9144  1 P 1.63
F12 0.6181 0.9288 0.3652  1 P 1.57
F13 0.6734 0.0856 0.5620  1 P 1.63
F14 0.6790 0.6734 0.5620  1 P 1.63
Br2 0.0040 0.0040 0.9880  3 P 2.66
F15 0.0786 0.3911 0.6118  1 P 1.57
F16 0.8330 0.4226 0.9144  1 P 1.63
F17 0.4288 0.1181 0.8652  1 P 1.57
F18 0.9288 0.0879 0.3652  1 P 1.57
F19 0.3911 0.9185 0.6118  1 P 1.57
F20 0.3330 0.3300 0.4144  1 P 1.63
P6 0.1924 0.5045 0.4882  4 F 1.57-1.63
F21 0.1790 0.5856 0.0620  1 P 1.63
F22 0.3300 0.9226 0.4144  1 P 1.63
F23 0.5856 0.1734 0.0620  1 P 1.63
F24 0.8300 0.8330 0.9144  1 P 1.63

Crystal system = trigonal
Formation energy (no corrections) = -206.3 kJ per mole of atoms

---

no.,magnetization (μB per cell)
1,0.00
2,0.00
3,0.00
4,0.00